Entry 1:
A PBEsol-optimized structure of Nb3SbO, computed with meta-GGA SCAN.

Computed properties:
crystal system	cubic
electronic total energy	-26.4334	eV/atom
total magnetization	2.97	μB per cell

a = 5.008 Å, b = 5.008 Å, c = 5.008 Å
α = 90.00°, β = 90.00°, γ = 90.00°
Atoms (fractional coordinates):
Sb (0.000, 0.000, 0.000)
Nb (0.500, 0.000, 0.000)
O (0.500, 0.500, 0.500)
Nb (0.000, 0.500, 0.000)
Nb (0.000, 0.000, 0.500)



Entry 2:
A PBEsol-optimized structure of YAlSe3, computed with meta-GGA SCAN.

Computed properties:
crystal system	monoclinic
electronic total energy	-20.7291	eV/atom
total magnetization	0.00	μB per cell

a = 3.922 Å, b = 7.414 Å, c = 10.389 Å
α = 106.38°, β = 90.00°, γ = 90.00°
Atoms (fractional coordinates):
Se (0.500, 0.622, 0.904)
Se (0.000, 0.524, 0.206)
Se (0.000, 0.388, 0.533)
Al (0.000, 0.064, 0.403)
Se (0.000, 0.140, 0.843)
Y (0.500, 0.261, 0.683)
Al (0.000, 0.698, 0.049)
Se (0.000, 0.037, 0.162)
Y (0.500, 0.271, 0.056)
Se (0.500, 0.912, 0.468)



Entry 3:
A PBEsol-optimized structure of Ba4TaSe, computed with meta-GGA SCAN.

Computed properties:
crystal system	cubic
electronic total energy	-39.9653	eV/atom
total magnetization	3.25	μB per cell

a = 6.831 Å, b = 6.831 Å, c = 6.831 Å
α = 60.00°, β = 60.00°, γ = 60.00°
Atoms (fractional coordinates):
Ta (0.000, 0.000, 0.000)
Ba (0.874, 0.375, 0.375)
Ba (0.375, 0.375, 0.375)
Ba (0.375, 0.874, 0.375)
Se (0.750, 0.750, 0.750)
Ba (0.375, 0.375, 0.874)



Entry 4:
A PBEsol-optimized structure of CuB3W, computed with meta-GGA SCAN.

Computed properties:
crystal system	cubic
electronic total energy	-19.6348	eV/atom
total magnetization	0.00	μB per cell

a = 3.715 Å, b = 3.715 Å, c = 3.715 Å
α = 90.00°, β = 90.00°, γ = 90.00°
Atoms (fractional coordinates):
B (0.500, 0.000, 0.000)
Cu (0.000, 0.000, 0.000)
B (0.000, 0.500, 0.000)
W (0.500, 0.500, 0.500)
B (0.000, 0.000, 0.500)



Entry 5:
A PBEsol-optimized structure of Sb2HRu, computed with meta-GGA SCAN.

Computed properties:
crystal system	cubic
electronic total energy	-27.7986	eV/atom
total magnetization	0.00	μB per cell

a = 4.473 Å, b = 4.473 Å, c = 4.473 Å
α = 60.00°, β = 60.00°, γ = 60.00°
Atoms (fractional coordinates):
Sb (0.250, 0.250, 0.250)
H (0.000, 0.000, 0.000)
Sb (0.750, 0.750, 0.750)
Ru (0.500, 0.500, 0.500)



Entry 6:
A PBEsol-optimized structure of LiZrTl4, computed with meta-GGA SCAN.

Computed properties:
crystal system	cubic
electronic total energy	-53.4372	eV/atom
total magnetization	1.55	μB per cell

a = 6.022 Å, b = 6.022 Å, c = 6.022 Å
α = 60.00°, β = 60.00°, γ = 60.00°
Atoms (fractional coordinates):
Zr (0.750, 0.750, 0.750)
Tl (0.375, 0.875, 0.375)
Tl (0.375, 0.375, 0.375)
Tl (0.375, 0.375, 0.875)
Li (0.000, 0.000, 0.000)
Tl (0.875, 0.375, 0.375)



Entry 7:
A PBEsol-optimized structure of Cs3FeTe, computed with meta-GGA SCAN.

Computed properties:
crystal system	cubic
electronic total energy	-33.5594	eV/atom
total magnetization	2.86	μB per cell

a = 6.012 Å, b = 6.012 Å, c = 6.012 Å
α = 90.00°, β = 90.00°, γ = 90.00°
Atoms (fractional coordinates):
Cs (0.500, 0.000, 0.000)
Cs (0.000, 0.000, 0.500)
Cs (0.000, 0.500, 0.000)
Fe (0.000, 0.000, 0.000)
Te (0.500, 0.500, 0.500)



Entry 8:
A PBEsol-optimized structure of AsRuPb2, computed with meta-GGA SCAN.

Computed properties:
crystal system	orthorhombic
electronic total energy	-51.4381	eV/atom
total magnetization	0.00	μB per cell

a = 3.216 Å, b = 4.544 Å, c = 6.703 Å
α = 109.81°, β = 103.88°, γ = 90.00°
Atoms (fractional coordinates):
As (0.819, 0.319, 0.637)
Ru (0.470, 0.470, 0.939)
Pb (0.202, 0.702, 0.404)
Pb (0.010, 0.010, 0.020)